(1)
Entry from Alexandria: an optimized crystal structure of SrTl2Hg8 (PBE-GGA).

a = 5.587 Å, b = 6.149 Å, c = 9.800 Å
α = 108.28°, β = 95.77°, γ = 90.00°
Atoms (fractional coordinates):
Sr (0.000, 0.000, 0.000)
Tl (0.340, 0.741, 0.483)
Tl (0.660, 0.259, 0.517)
Hg (0.531, 0.335, 0.172)
Hg (0.469, 0.164, 0.828)
Hg (0.882, 0.817, 0.634)
Hg (0.118, 0.183, 0.366)
Hg (0.531, 0.836, 0.172)
Hg (0.469, 0.665, 0.828)
Hg (0.018, 0.588, 0.176)
Hg (0.982, 0.412, 0.824)

E above lowest polymorph   0 meV/atom
Total magnetization   0.00 μB/cell
Final energy   -10.290 eV per formula unit
DFT formation energy   -133 meV per atom


(2)
Entry from Alexandria: an optimized crystal structure of Sr2TlHg5 (PBE-GGA).

a = 4.713 Å, b = 9.754 Å, c = 10.704 Å
α = 90.00°, β = 90.00°, γ = 103.98°
Atoms (fractional coordinates):
Sr (0.806, 0.611, 0.750)
Sr (0.194, 0.389, 0.250)
Sr (0.000, 0.000, 0.000)
Sr (0.000, 0.000, 0.500)
Tl (0.458, 0.917, 0.750)
Tl (0.542, 0.083, 0.250)
Hg (0.199, 0.398, 0.896)
Hg (0.801, 0.602, 0.104)
Hg (0.199, 0.398, 0.604)
Hg (0.801, 0.602, 0.396)
Hg (0.361, 0.722, 0.970)
Hg (0.639, 0.278, 0.030)
Hg (0.361, 0.722, 0.530)
Hg (0.639, 0.278, 0.470)
Hg (0.612, 0.225, 0.750)
Hg (0.388, 0.775, 0.250)

E above lowest polymorph   36 meV/atom
Total magnetization   0.00 μB/cell
Final energy   -9.836 eV per formula unit
DFT formation energy   -325 meV per atom


(3)
Entry from Alexandria: an optimized crystal structure of SrTl4Hg7 (PBE-GGA).

a = 5.420 Å, b = 5.420 Å, c = 13.472 Å
α = 90.00°, β = 90.00°, γ = 120.00°
Atoms (fractional coordinates):
Sr (0.000, 0.000, 0.500)
Tl (0.333, 0.667, 0.912)
Tl (0.667, 0.333, 0.088)
Tl (0.333, 0.667, 0.646)
Tl (0.667, 0.333, 0.354)
Hg (0.000, 0.000, 0.000)
Hg (0.333, 0.667, 0.394)
Hg (0.667, 0.333, 0.606)
Hg (0.333, 0.667, 0.162)
Hg (0.667, 0.333, 0.838)
Hg (0.000, 0.000, 0.759)
Hg (0.000, 0.000, 0.241)

Total magnetization   0.00 μB/cell
Final energy   -14.714 eV per formula unit
DFT formation energy   -121 meV per atom


(4)
Entry from Alexandria: an optimized crystal structure of Sr5Tl2Hg (PBE-GGA).

a = 5.731 Å, b = 7.459 Å, c = 14.072 Å
α = 90.00°, β = 90.00°, γ = 90.00°
Atoms (fractional coordinates):
Sr (0.500, 0.332, 0.105)
Sr (0.500, 0.668, 0.895)
Sr (0.500, 0.832, 0.395)
Sr (0.500, 0.168, 0.605)
Sr (0.000, 0.862, 0.719)
Sr (0.000, 0.138, 0.281)
Sr (0.000, 0.362, 0.781)
Sr (0.000, 0.638, 0.219)
Sr (0.000, 0.500, 0.500)
Sr (0.000, 0.000, 0.000)
Tl (0.500, 0.365, 0.363)
Tl (0.500, 0.635, 0.637)
Tl (0.500, 0.135, 0.863)
Tl (0.500, 0.865, 0.137)
Hg (0.000, 0.000, 0.500)
Hg (0.000, 0.500, 0.000)

Total magnetization   0.00 μB/cell
Final energy   -16.279 eV per formula unit
DFT formation energy   -354 meV per atom


(5)
Entry from Alexandria: an optimized crystal structure of SrTl12Hg6 (PBE-GGA).

a = 8.980 Å, b = 8.980 Å, c = 8.980 Å
α = 106.63°, β = 106.63°, γ = 106.63°
Atoms (fractional coordinates):
Sr (0.000, 0.000, 0.000)
Tl (0.885, 0.115, 0.500)
Tl (0.873, 0.628, 0.628)
Tl (0.628, 0.628, 0.873)
Tl (0.372, 0.127, 0.372)
Tl (0.372, 0.372, 0.127)
Tl (0.127, 0.372, 0.372)
Tl (0.115, 0.500, 0.885)
Tl (0.500, 0.885, 0.115)
Tl (0.115, 0.885, 0.500)
Tl (0.885, 0.500, 0.115)
Tl (0.500, 0.115, 0.885)
Tl (0.628, 0.873, 0.628)
Hg (0.710, 0.302, 0.302)
Hg (0.302, 0.302, 0.710)
Hg (0.302, 0.710, 0.302)
Hg (0.698, 0.698, 0.290)
Hg (0.290, 0.698, 0.698)
Hg (0.698, 0.290, 0.698)

E above lowest polymorph   54 meV/atom
Total magnetization   0.00 μB/cell
Final energy   -31.679 eV per formula unit
DFT formation energy   11 meV per atom


(6)
Entry from Alexandria: an optimized crystal structure of SrTl2Hg2 (PBE-GGA).

a = 8.439 Å, b = 8.439 Å, c = 4.393 Å
α = 90.00°, β = 90.00°, γ = 90.00°
Atoms (fractional coordinates):
Sr (0.000, 0.000, 0.000)
Sr (0.500, 0.500, 0.000)
Tl (0.173, 0.673, 0.500)
Tl (0.673, 0.827, 0.500)
Tl (0.827, 0.327, 0.500)
Tl (0.327, 0.173, 0.500)
Hg (0.372, 0.872, 0.000)
Hg (0.872, 0.628, 0.000)
Hg (0.628, 0.128, 0.000)
Hg (0.128, 0.372, 0.000)

E above lowest polymorph   71 meV/atom
Total magnetization   0.00 μB/cell
Final energy   -8.051 eV per formula unit
DFT formation energy   -207 meV per atom


(7)
Entry from Alexandria: an optimized crystal structure of SrTl2Hg2 (PBE-GGA).

a = 5.246 Å, b = 6.382 Å, c = 5.458 Å
α = 103.83°, β = 118.73°, γ = 89.99°
Atoms (fractional coordinates):
Sr (0.500, 0.000, 0.500)
Tl (0.875, 0.275, 0.249)
Tl (0.125, 0.725, 0.751)
Hg (0.790, 0.723, 0.079)
Hg (0.210, 0.277, 0.921)

E above lowest polymorph   45 meV/atom
Total magnetization   0.00 μB/cell
Final energy   -8.182 eV per formula unit
DFT formation energy   -233 meV per atom


(8)
Entry from Alexandria: an optimized crystal structure of SrTl6Hg8 (PBE-GGA).

a = 8.007 Å, b = 8.007 Å, c = 8.007 Å
α = 72.02°, β = 72.02°, γ = 72.02°
Atoms (fractional coordinates):
Sr (0.000, 0.000, 0.000)
Tl (0.634, 0.410, 0.190)
Tl (0.190, 0.634, 0.410)
Tl (0.410, 0.190, 0.634)
Tl (0.366, 0.590, 0.810)
Tl (0.810, 0.366, 0.590)
Tl (0.590, 0.810, 0.366)
Hg (0.194, 0.194, 0.194)
Hg (0.806, 0.806, 0.806)
Hg (0.028, 0.425, 0.828)
Hg (0.828, 0.028, 0.425)
Hg (0.425, 0.828, 0.028)
Hg (0.972, 0.575, 0.172)
Hg (0.172, 0.972, 0.575)
Hg (0.575, 0.172, 0.972)

Total magnetization   0.00 μB/cell
Final energy   -19.416 eV per formula unit
DFT formation energy   -75 meV per atom


(9)
Entry from Alexandria: an optimized crystal structure of SrTl2Hg3 (PBE-GGA).

a = 5.650 Å, b = 8.883 Å, c = 7.375 Å
α = 90.00°, β = 90.01°, γ = 71.45°
Atoms (fractional coordinates):
Sr (0.341, 0.318, 0.000)
Sr (0.659, 0.682, 0.000)
Tl (0.000, 0.000, 0.000)
Tl (0.000, 0.000, 0.500)
Tl (0.337, 0.326, 0.500)
Tl (0.663, 0.674, 0.500)
Hg (0.829, 0.341, 0.740)
Hg (0.500, 0.000, 0.264)
Hg (0.171, 0.659, 0.260)
Hg (0.830, 0.341, 0.260)
Hg (0.170, 0.659, 0.740)
Hg (0.500, 0.000, 0.736)

E above lowest polymorph   6 meV/atom
Total magnetization   0.00 μB/cell
Final energy   -8.772 eV per formula unit
DFT formation energy   -242 meV per atom


(10)
Entry from Alexandria: an optimized crystal structure of Sr8Tl2Hg (PBE-GGA).

a = 5.789 Å, b = 8.073 Å, c = 10.670 Å
α = 108.04°, β = 105.74°, γ = 90.00°
Atoms (fractional coordinates):
Sr (0.404, 0.555, 0.808)
Sr (0.666, 0.961, 0.331)
Sr (0.796, 0.691, 0.592)
Sr (0.970, 0.209, 0.940)
Sr (0.204, 0.309, 0.408)
Sr (0.334, 0.039, 0.669)
Sr (0.596, 0.445, 0.192)
Sr (0.030, 0.791, 0.060)
Tl (0.818, 0.296, 0.636)
Tl (0.182, 0.704, 0.364)
Hg (0.500, 0.000, 0.000)

Total magnetization   0.00 μB/cell
Final energy   -21.523 eV per formula unit
DFT formation energy   -276 meV per atom


(11)
Entry from Alexandria: an optimized crystal structure of SrTl2Hg3 (PBE-GGA).

a = 4.827 Å, b = 4.915 Å, c = 14.621 Å
α = 90.00°, β = 90.00°, γ = 90.00°
Atoms (fractional coordinates):
Sr (0.000, 0.500, 0.500)
Sr (0.000, 0.000, 0.000)
Tl (0.000, 0.000, 0.675)
Tl (0.000, 0.000, 0.325)
Tl (0.000, 0.500, 0.175)
Tl (0.000, 0.500, 0.825)
Hg (0.500, 0.500, 0.664)
Hg (0.500, 0.000, 0.500)
Hg (0.500, 0.500, 0.336)
Hg (0.500, 0.000, 0.164)
Hg (0.500, 0.500, 0.000)
Hg (0.500, 0.000, 0.836)

E above lowest polymorph   0 meV/atom
Total magnetization   0.00 μB/cell
Final energy   -8.808 eV per formula unit
DFT formation energy   -248 meV per atom


(12)
Entry from Alexandria: an optimized crystal structure of Sr2Tl3Hg6 (PBE-GGA).

a = 4.131 Å, b = 9.398 Å, c = 9.398 Å
α = 67.52°, β = 90.00°, γ = 90.00°
Atoms (fractional coordinates):
Sr (0.000, 0.293, 0.707)
Sr (0.000, 0.707, 0.293)
Tl (0.000, 0.234, 0.234)
Tl (0.000, 0.766, 0.766)
Tl (0.500, 0.000, 0.000)
Hg (0.500, 0.392, 0.392)
Hg (0.500, 0.608, 0.608)
Hg (0.500, 0.951, 0.368)
Hg (0.500, 0.049, 0.632)
Hg (0.500, 0.368, 0.951)
Hg (0.500, 0.632, 0.049)

E above lowest polymorph   0 meV/atom
Total magnetization   0.00 μB/cell
Final energy   -14.776 eV per formula unit
DFT formation energy   -228 meV per atom